Below is a relaxed structure of KRh2Br, with properties calculated at the PBE level.

The volume comes out at 82 Å³ per cell. Its symmetry is No. 123. The crystal system is tetragonal. For the energy above the lowest structure with this stoichiometry, the calculation gives 606 meV per atom. As for the theoretical density: 6.59 g/cm3. As for the density of states at the Fermi level: 2.02 states/eV/cell.

a b c (Å): 3.138 3.138 8.317
angles (deg): 90.00 90.00 90.00
Fractional positions:
K (0.000, 0.000, 0.000)
Rh (0.500, 0.500, 0.316)
Rh (0.500, 0.500, 0.684)
Br (0.000, 0.000, 0.500)

***

Below is a relaxed structure of KRh2Br, with properties calculated at the PBE level.

The volume comes out at 81 Å³ per cell. Its symmetry is No. 216. The crystal system is cubic. For the energy above the lowest structure with this stoichiometry, the calculation gives 531 meV per atom. As for the theoretical density: 6.62 g/cm3. As for the density of states at the Fermi level: 2.59 states/eV/cell.

a b c (Å): 4.867 4.867 4.867
angles (deg): 60.00 60.00 60.00
Fractional positions:
K (0.000, 0.000, 0.000)
Rh (0.250, 0.250, 0.250)
Rh (0.500, 0.500, 0.500)
Br (0.750, 0.750, 0.750)

***

Record order is preserved below.
Energy relative to the elements, uncorrected: 2.81, 2.51 eV per formula unit